Entry from the Alexandria database: DyY4Mg after structural relaxation (PBE-GGA).

Cell and atoms, written as CIF:
```
data_DyY4Mg
_chemical_formula_sum 'Dy2 Y8 Mg2'
_space_group_name_H-M_alt 'P 1'
_space_group_IT_number 1
_cell_length_a 3.6036
_cell_length_b 6.0135
_cell_length_c 17.1279
_cell_angle_alpha 87.23
_cell_angle_beta 90.00
_cell_angle_gamma 90.00
loop_
_space_group_symop_operation_xyz
'x,y,z'
loop_
_atom_site_label
_atom_site_type_symbol
_atom_site_fract_x
_atom_site_fract_y
_atom_site_fract_z
_atom_site_occupancy
Dy1 Dy 0.0000 0.0000 0.5000 1
Dy2 Dy 0.5000 0.5000 0.0000 1
Y1 Y 0.0012 0.6570 0.8323 1
Y2 Y 0.9988 0.3430 0.1677 1
Y3 Y 0.4985 0.8374 0.1629 1
Y4 Y 0.5012 0.8430 0.6677 1
Y5 Y 0.5015 0.1626 0.8371 1
Y6 Y 0.0015 0.3374 0.6629 1
Y7 Y 0.9985 0.6626 0.3371 1
Y8 Y 0.4988 0.1570 0.3323 1
Mg1 Mg 0.5000 0.5000 0.5000 1
Mg2 Mg 0.0000 0.0000 0.0000 1
```

## Properties
* energy of formation from the pure elements: 0.0227 eV per atom
* mass density: 4.9 g cm⁻³
* total DFT energy (no corrections): -5.319 eV/atom
* total magnetic moment: 0.00 μB/f.u.
* energy above the lowest structure with this stoichiometry: 39.6 meV/atom



Entry from the Alexandria database: PmVH after structural relaxation (PBE-GGA).

Cell and atoms, written as CIF:
```
data_PmVH
_chemical_formula_sum 'Pm2 V2 H2'
_space_group_name_H-M_alt 'P 1'
_space_group_IT_number 1
_cell_length_a 3.3170
_cell_length_b 3.3178
_cell_length_c 9.2336
_cell_angle_alpha 100.69
_cell_angle_beta 99.96
_cell_angle_gamma 90.10
loop_
_space_group_symop_operation_xyz
'x,y,z'
loop_
_atom_site_label
_atom_site_type_symbol
_atom_site_fract_x
_atom_site_fract_y
_atom_site_fract_z
_atom_site_occupancy
V1 V 0.7784 0.7800 0.5576 1
V2 V 0.2216 0.2200 0.4424 1
H1 H 0.1212 0.1121 0.2346 1
H2 H 0.8788 0.8879 0.7654 1
Pm1 Pm 0.3981 0.4079 0.8048 1
Pm2 Pm 0.6019 0.5921 0.1952 1
```

## Properties
* mass density: 6.7 g cm⁻³
* total DFT energy (no corrections): -5.824 eV/atom
* total magnetic moment: 0.00 μB/f.u.



Entry from the Alexandria database: LaAl4AgAu2 after structural relaxation (PBE-GGA).

Cell and atoms, written as CIF:
```
data_LaAl4AgAu2
_chemical_formula_sum 'La1 Al4 Ag1 Au2'
_space_group_name_H-M_alt 'P 1'
_space_group_IT_number 1
_cell_length_a 4.4006
_cell_length_b 4.4006
_cell_length_c 9.7152
_cell_angle_alpha 76.91
_cell_angle_beta 76.91
_cell_angle_gamma 60.00
loop_
_space_group_symop_operation_xyz
'x,y,z'
loop_
_atom_site_label
_atom_site_type_symbol
_atom_site_fract_x
_atom_site_fract_y
_atom_site_fract_z
_atom_site_occupancy
Al1 Al 0.5974 0.5974 0.2078 1
Al2 Al 0.8752 0.8752 0.3745 1
Al3 Al 0.1248 0.1248 0.6255 1
Al4 Al 0.4026 0.4026 0.7922 1
Au1 Au 0.7588 0.7588 0.7235 1
Au2 Au 0.2412 0.2412 0.2765 1
Ag1 Ag 0.5000 0.5000 0.5000 1
La1 La 0.0000 0.0000 0.0000 1
```

## Properties
* energy of formation from the pure elements: -0.4162 eV per atom
* mass density: 7.9 g cm⁻³
* total DFT energy (no corrections): -4.079 eV/atom
* total magnetic moment: 0.00 μB/f.u.



Entry from the Alexandria database: RbTaP2Se after structural relaxation (PBE-GGA).

Cell and atoms, written as CIF:
```
data_RbTaP2Se
_chemical_formula_sum 'Rb1 Ta1 P2 Se1'
_space_group_name_H-M_alt 'P 1'
_space_group_IT_number 1
_cell_length_a 5.0014
_cell_length_b 5.3873
_cell_length_c 5.0014
_cell_angle_alpha 90.00
_cell_angle_beta 90.00
_cell_angle_gamma 90.00
loop_
_space_group_symop_operation_xyz
'x,y,z'
loop_
_atom_site_label
_atom_site_type_symbol
_atom_site_fract_x
_atom_site_fract_y
_atom_site_fract_z
_atom_site_occupancy
Rb1 Rb 0.0000 0.0000 0.0000 1
Ta1 Ta 0.5000 0.5000 0.5000 1
P1 P 0.5000 0.0000 0.0000 1
P2 P 0.0000 0.0000 0.5000 1
Se1 Se 0.0000 0.5000 0.0000 1
```

## Properties
* mass density: 5.0 g cm⁻³
* total DFT energy (no corrections): -2.985 eV/atom
* total magnetic moment: 0.00 μB/f.u.
* ΔE_f (raw): 2.440 eV/atom



Entry from the Alexandria database: ErPaCo5P2 after structural relaxation (PBE-GGA).

Cell and atoms, written as CIF:
```
data_ErPaCo5P2
_chemical_formula_sum 'Er1 Pa1 Co5 P2'
_space_group_name_H-M_alt 'P 1'
_space_group_IT_number 1
_cell_length_a 3.9251
_cell_length_b 3.9251
_cell_length_c 8.1627
_cell_angle_alpha 90.00
_cell_angle_beta 90.00
_cell_angle_gamma 90.00
loop_
_space_group_symop_operation_xyz
'x,y,z'
loop_
_atom_site_label
_atom_site_type_symbol
_atom_site_fract_x
_atom_site_fract_y
_atom_site_fract_z
_atom_site_occupancy
Pa1 Pa 0.0000 0.0000 0.0000 1
Co1 Co 0.5000 0.0000 0.2639 1
Co2 Co 0.0000 0.5000 0.7361 1
Co3 Co 0.5000 0.5000 0.5000 1
Co4 Co 0.5000 0.0000 0.7361 1
Co5 Co 0.0000 0.5000 0.2639 1
P1 P 0.5000 0.5000 0.1507 1
P2 P 0.5000 0.5000 0.8493 1
Er1 Er 0.0000 0.0000 0.5000 1
```

## Properties
* energy of formation from the pure elements: -0.5828 eV per atom
* mass density: 10.0 g cm⁻³
* total DFT energy (no corrections): -7.295 eV/atom
* total magnetic moment: 1.32 μB/f.u.



Entry from the Alexandria database: CsMnBr5 after structural relaxation (PBE-GGA).

Cell and atoms, written as CIF:
```
data_CsMnBr5
_chemical_formula_sum 'Cs1 Mn1 Br5'
_space_group_name_H-M_alt 'P 1'
_space_group_IT_number 1
_cell_length_a 7.1500
_cell_length_b 7.4456
_cell_length_c 7.4456
_cell_angle_alpha 85.98
_cell_angle_beta 61.30
_cell_angle_gamma 61.30
loop_
_space_group_symop_operation_xyz
'x,y,z'
loop_
_atom_site_label
_atom_site_type_symbol
_atom_site_fract_x
_atom_site_fract_y
_atom_site_fract_z
_atom_site_occupancy
Mn1 Mn 0.6540 0.5000 0.5000 1
Br1 Br 0.3715 0.7950 0.7950 1
Br2 Br 0.4365 0.6758 0.3242 1
Br3 Br 0.4365 0.3242 0.6758 1
Br4 Br 0.9615 0.2050 0.2050 1
Br5 Br 0.9854 0.5000 0.5000 1
Cs1 Cs 0.6853 0.0000 0.0000 1
```

## Properties
* mass density: 3.3 g cm⁻³
* total DFT energy (no corrections): -3.484 eV/atom
* total magnetic moment: 2.97 μB/f.u.
* ΔE_f (raw): -0.857 eV/atom



Entry from the Alexandria database: B2AsC after structural relaxation (PBE-GGA).

Cell and atoms, written as CIF:
```
data_B2AsC
_chemical_formula_sum 'B4 As2 C2'
_space_group_name_H-M_alt 'P 1'
_space_group_IT_number 1
_cell_length_a 4.3281
_cell_length_b 4.3281
_cell_length_c 5.2070
_cell_angle_alpha 65.44
_cell_angle_beta 65.44
_cell_angle_gamma 90.00
loop_
_space_group_symop_operation_xyz
'x,y,z'
loop_
_atom_site_label
_atom_site_type_symbol
_atom_site_fract_x
_atom_site_fract_y
_atom_site_fract_z
_atom_site_occupancy
B1 B 0.2079 0.6250 0.2500 1
B2 B 0.5421 0.1250 0.2500 1
B3 B 0.3750 0.4579 0.7500 1
B4 B 0.8750 0.7921 0.7500 1
C1 C 0.2500 0.7500 0.5000 1
C2 C 0.5000 0.5000 0.0000 1
As1 As 0.7500 0.2500 0.5000 1
As2 As 0.0000 0.0000 0.0000 1
```

## Properties
* energy of formation from the pure elements: 0.3165 eV per atom
* mass density: 4.6 g cm⁻³
* total DFT energy (no corrections): -6.491 eV/atom
* total magnetic moment: 0.00 μB/f.u.
* energy above the lowest structure with this stoichiometry: 0.0 meV/atom



Entry from the Alexandria database: Ce3Ho3TmSe8 after structural relaxation (PBE-GGA).

Cell and atoms, written as CIF:
```
data_Ce3Ho3TmSe8
_chemical_formula_sum 'Ce3 Ho3 Tm1 Se8'
_space_group_name_H-M_alt 'P 1'
_space_group_IT_number 1
_cell_length_a 8.1800
_cell_length_b 8.1800
_cell_length_c 8.2954
_cell_angle_alpha 119.54
_cell_angle_beta 90.00
_cell_angle_gamma 120.00
loop_
_space_group_symop_operation_xyz
'x,y,z'
loop_
_atom_site_label
_atom_site_type_symbol
_atom_site_fract_x
_atom_site_fract_y
_atom_site_fract_z
_atom_site_occupancy
Se1 Se 0.7526 0.5051 0.2616 1
Se2 Se 0.7455 0.4911 0.7366 1
Se3 Se 0.2474 0.4949 0.7384 1
Se4 Se 0.2545 0.5089 0.2634 1
Se5 Se 0.7526 0.0091 0.2616 1
Se6 Se 0.2565 0.0091 0.2616 1
Se7 Se 0.2474 0.9909 0.7384 1
Se8 Se 0.7435 0.9909 0.7384 1
Ce1 Ce 0.5000 0.5000 0.0000 1
Ce2 Ce 0.0000 0.0000 0.0000 1
Ce3 Ce 0.0000 0.5000 0.0000 1
Tm1 Tm 0.0000 0.0000 0.5000 1
Ho1 Ho 0.0000 0.5000 0.5000 1
Ho2 Ho 0.5000 0.0000 0.5000 1
Ho3 Ho 0.5000 0.5000 0.5000 1
```

## Properties
* mass density: 7.2 g cm⁻³
* total DFT energy (no corrections): -6.088 eV/atom
* total magnetic moment: 3.82 μB/f.u.
* ΔE_f (raw): -1.829 eV/atom



Entry from the Alexandria database: LuTlAg2 after structural relaxation (PBE-GGA).

Cell and atoms, written as CIF:
```
data_LuTlAg2
_chemical_formula_sum 'Lu1 Tl1 Ag2'
_space_group_name_H-M_alt 'P 1'
_space_group_IT_number 1
_cell_length_a 4.3692
_cell_length_b 4.5062
_cell_length_c 4.5062
_cell_angle_alpha 90.00
_cell_angle_beta 90.00
_cell_angle_gamma 90.00
loop_
_space_group_symop_operation_xyz
'x,y,z'
loop_
_atom_site_label
_atom_site_type_symbol
_atom_site_fract_x
_atom_site_fract_y
_atom_site_fract_z
_atom_site_occupancy
Lu1 Lu 0.5000 0.5000 0.5000 1
Ag1 Ag 0.0000 0.5000 0.0000 1
Ag2 Ag 0.0000 0.0000 0.5000 1
Tl1 Tl 0.5000 0.0000 0.0000 1
```

## Properties
* energy of formation from the pure elements: -0.1130 eV per atom
* mass density: 11.1 g cm⁻³
* total DFT energy (no corrections): -3.260 eV/atom
* total magnetic moment: 0.00 μB/f.u.



Entry from the Alexandria database: InAsSCl2 after structural relaxation (PBE-GGA).

Cell and atoms, written as CIF:
```
data_InAsSCl2
_chemical_formula_sum 'In1 As1 S1 Cl2'
_space_group_name_H-M_alt 'P 1'
_space_group_IT_number 1
_cell_length_a 5.2292
_cell_length_b 5.2292
_cell_length_c 4.8303
_cell_angle_alpha 90.00
_cell_angle_beta 90.00
_cell_angle_gamma 90.00
loop_
_space_group_symop_operation_xyz
'x,y,z'
loop_
_atom_site_label
_atom_site_type_symbol
_atom_site_fract_x
_atom_site_fract_y
_atom_site_fract_z
_atom_site_occupancy
As1 As 0.0000 0.0000 0.0000 1
S1 S 0.0000 0.0000 0.5000 1
In1 In 0.5000 0.5000 0.5000 1
Cl1 Cl 0.0000 0.5000 0.0000 1
Cl2 Cl 0.5000 0.0000 0.0000 1
```

## Properties
* mass density: 3.7 g cm⁻³
* total DFT energy (no corrections): -3.367 eV/atom
* total magnetic moment: 0.00 μB/f.u.
* ΔE_f (raw): -0.325 eV/atom
* energy above the lowest structure with this stoichiometry: 0.0 meV/atom



Entry from the Alexandria database: Mg3PN after structural relaxation (PBE-GGA).

Cell and atoms, written as CIF:
```
data_Mg3PN
_chemical_formula_sum 'Mg6 P2 N2'
_space_group_name_H-M_alt 'P 1'
_space_group_IT_number 1
_cell_length_a 7.6316
_cell_length_b 4.0643
_cell_length_c 6.0249
_cell_angle_alpha 90.00
_cell_angle_beta 98.03
_cell_angle_gamma 122.19
loop_
_space_group_symop_operation_xyz
'x,y,z'
loop_
_atom_site_label
_atom_site_type_symbol
_atom_site_fract_x
_atom_site_fract_y
_atom_site_fract_z
_atom_site_occupancy
P1 P 0.1049 0.6533 0.4225 1
P2 P 0.7040 0.2523 0.8102 1
Mg1 Mg 0.4885 0.5367 0.9191 1
Mg2 Mg 0.9045 0.9527 0.6165 1
Mg3 Mg 0.1369 0.6853 0.8865 1
Mg4 Mg 0.6718 0.2201 0.3465 1
Mg5 Mg 0.3204 0.3686 0.3136 1
Mg6 Mg 0.9044 0.9525 0.1165 1
N1 N 0.6359 0.6843 0.2818 1
N2 N 0.1729 0.2213 0.9509 1
```

## Properties
* mass density: 2.5 g cm⁻³
* total DFT energy (no corrections): -4.336 eV/atom
* total magnetic moment: 0.00 μB/f.u.
* ΔE_f (raw): -0.632 eV/atom
* energy above the lowest structure with this stoichiometry: 105.7 meV/atom



Entry from the Alexandria database: NaPtRh2O after structural relaxation (PBE-GGA).

Cell and atoms, written as CIF:
```
data_NaPtRh2O
_chemical_formula_sum 'Na1 Pt1 Rh2 O1'
_space_group_name_H-M_alt 'P 1'
_space_group_IT_number 1
_cell_length_a 4.7193
_cell_length_b 3.7367
_cell_length_c 4.7193
_cell_angle_alpha 90.00
_cell_angle_beta 90.00
_cell_angle_gamma 90.00
loop_
_space_group_symop_operation_xyz
'x,y,z'
loop_
_atom_site_label
_atom_site_type_symbol
_atom_site_fract_x
_atom_site_fract_y
_atom_site_fract_z
_atom_site_occupancy
O1 O 0.0000 0.5000 0.0000 1
Pt1 Pt 0.5000 0.5000 0.5000 1
Na1 Na 0.0000 0.0000 0.0000 1
Rh1 Rh 0.5000 0.0000 0.0000 1
Rh2 Rh 0.0000 0.0000 0.5000 1
```

## Properties
* mass density: 8.8 g cm⁻³
* total DFT energy (no corrections): -3.984 eV/atom
* total magnetic moment: 4.21 μB/f.u.
* ΔE_f (raw): 1.421 eV/atom